Entry 1:
PrPuCdIn (GGA-PBE, relaxed); crystal system = cubic; formation energy from the elements = -0.79 eV per formula unit
1.0
7.7040 0.0000 0.0000
0.0000 7.7040 0.0000
0.0000 0.0000 7.7040
Pr Pu Cd In
4 4 4 4
Cartesian
0.0000 0.0000 0.0000
0.0000 3.8520 3.8520
3.8520 0.0000 3.8520
3.8520 3.8520 0.0000
0.0000 0.0000 3.8520
0.0000 3.8520 0.0000
3.8520 0.0000 0.0000
3.8520 3.8520 3.8520
1.9260 1.9260 1.9260
1.9260 5.7780 5.7780
5.7780 1.9260 5.7780
5.7780 5.7780 1.9260
1.9260 1.9260 5.7780
1.9260 5.7780 1.9260
5.7780 1.9260 1.9260
5.7780 5.7780 5.7780

---

Entry 2:
NbGaRu2W (GGA-PBE, relaxed); crystal system = tetragonal; formation energy from the elements = 6.57 eV per formula unit
1.0
4.4027 0.0000 0.0000
0.0000 4.4027 0.0000
0.0000 0.0000 4.6409
Nb Ga Ru W
1 1 2 1
Cartesian
0.0000 0.0000 0.0000
0.0000 0.0000 2.3204
0.0000 2.2013 2.3204
2.2013 0.0000 2.3204
2.2013 2.2013 0.0000

---

Entry 3:
CaIn2HgH (GGA-PBE, relaxed); crystal system = tetragonal; energy = -2.381 eV per atom
1.0
4.8162 0.0000 0.0000
0.0000 4.8162 0.0000
0.0000 0.0000 4.5916
Ca In Hg H
1 2 1 1
Cartesian
0.0000 0.0000 0.0000
0.0000 2.4081 2.2958
2.4081 0.0000 2.2958
2.4081 2.4081 0.0000
0.0000 0.0000 2.2958

---

Entry 4:
RbCrSnN2 (GGA-PBE, relaxed); crystal system = tetragonal; raw formation energy = 1408.6 meV per atom
1.0
4.1504 0.0000 0.0000
0.0000 4.1504 0.0000
0.0000 0.0000 5.5421
Rb Cr Sn N
1 1 1 2
Cartesian
0.0000 0.0000 0.0000
0.0000 0.0000 2.7711
2.0752 2.0752 0.0000
0.0000 2.0752 2.7711
2.0752 0.0000 2.7711

---

Number 1: size of the total moment 25.77 Bohr magnetons per cell. Number 2: size of the total moment 0.00 Bohr magnetons per cell. Number 3: size of the total moment 0.00 Bohr magnetons per cell. Number 4: size of the total moment 1.67 Bohr magnetons per cell.